A relaxed structure of PrHoTh. Source: the Alexandria database, functional GGA-PBE.

The calculation puts the formation energy at 0.028 eV per atom.

a = 6.235 Å, b = 3.600 Å, c = 17.828 Å
α = 90.00°, β = 96.73°, γ = 90.00°
Space group C2/m (No. 12)
Asymmetric unit:
Pr (0.195, 0.000, 0.089) [4 per cell]
Ho (0.081, 0.000, 0.743) [4 per cell]
Th (0.140, 0.500, 0.420) [4 per cell]